The following is a DFT calculation (PBE) of Ce2TmTaN5 after structural relaxation.

```
18
Lattice="-0.3461 1.8920 2.9063 1.3378 -6.5717 2.3478 10.4100 2.0786 -0.1134" Properties=species:S:1:pos:R:3 pbc="T T T"
N 9.2641 0.7010 2.7365
N 1.1005 -4.2550 2.9010
N 2.8418 1.4024 1.5151
N 0.6412 -0.4953 0.3988
N 9.3266 -3.8505 3.6173
N 6.5900 -2.9386 4.7873
N 2.0192 -1.1894 3.1044
N 7.5388 -1.7799 2.0564
N 5.5179 0.6988 2.2918
N 4.5502 -2.8205 2.3779
Ce 3.2222 -1.0493 1.0668
Ce 8.7458 -1.4388 4.0677
Ce 2.7763 -2.9956 4.3703
Ce 7.5176 0.1732 0.7825
Ta 5.9851 -4.4356 3.6003
Ta 9.9428 2.7382 1.4911
Tm 5.6706 -1.1800 3.5330
Tm 10.9041 -0.3883 1.5513
```

VASP energy in eV/atom: -9.16
Total magnetic moment in μB/f.u.: 1.1